Record 1
A plane-wave DFT calculation with PBE was carried out for a geometry-optimized LaCo9Si4 structure.

The structure in extended XYZ format:
```
28
Lattice="-3.881 3.881 5.753 3.881 -3.881 5.753 3.881 3.881 -5.753" Properties=species:S:1:pos:R:3 pbc="T T T"
La 0.000 0.000 2.876
La 0.000 0.000 8.629
Co 3.881 0.000 0.000
Co 2.881 -1.000 2.071
Co 6.209 0.542 0.000
Co 4.882 -1.000 3.682
Co 0.542 1.553 0.000
Co 4.423 2.328 0.000
Co 4.882 1.000 2.071
Co 2.328 3.339 0.000
Co 2.881 1.000 3.682
Co 0.000 3.881 0.000
Co 1.000 2.881 2.071
Co 1.553 0.542 5.753
Co -1.000 2.881 3.682
Co -0.542 1.553 5.753
Co 3.339 2.328 5.753
Co -1.000 4.882 2.071
Co -2.328 3.339 5.753
Co 1.000 4.882 3.682
Si 2.571 1.311 -1.391
Si 2.571 -1.311 4.362
Si 2.571 1.311 1.391
Si 2.571 -1.311 7.144
Si 1.311 5.192 -1.391
Si 1.311 2.571 4.362
Si 1.311 5.192 1.391
Si 1.311 2.571 7.144
```

## Properties
M_tot in μB/cell: 9.35
Fermi-level density of states in states/eV/cell: 28.83
E_tot in eV per cell: -194.57
SG: I4/mcm

=====

Record 2
A plane-wave DFT calculation with PBE was carried out for a geometry-optimized La2CoSi structure.

The structure in extended XYZ format:
```
4
Lattice="3.477 -3.481 0.000 3.477 3.481 0.000 0.000 0.000 3.908" Properties=species:S:1:pos:R:3 pbc="T T T"
La 1.738 1.741 0.000
La 1.738 -1.741 0.000
Co 0.000 0.000 1.954
Si 3.477 0.000 1.954
```

## Properties
M_tot in μB/cell: 0.68
Fermi-level density of states in states/eV/cell: 3.36
E_tot in eV per cell: -23.19
SG: Cmmm

=====

Record 3
A plane-wave DFT calculation with PBE was carried out for a geometry-optimized LaCo2Si structure.

The structure in extended XYZ format:
```
4
Lattice="2.871 0.000 0.000 0.000 3.331 0.000 -1.272 0.000 6.538" Properties=species:S:1:pos:R:3 pbc="T T T"
La 0.000 0.000 0.000
Co 0.429 1.666 4.412
Co 1.170 1.666 2.126
Si -0.636 0.000 3.269
```

## Properties
M_tot in μB/cell: 0.00
Fermi-level density of states in states/eV/cell: 2.26
E_tot in eV per cell: -24.96
SG: P2/m

=====

Record 4
A plane-wave DFT calculation with PBE was carried out for a geometry-optimized La2CoSi structure.

The structure in extended XYZ format:
```
4
Lattice="0.000 3.478 3.478 3.478 0.000 3.478 3.478 3.478 0.000" Properties=species:S:1:pos:R:3 pbc="T T T"
La 0.000 0.000 0.000
La 1.739 1.739 1.739
Co 3.478 3.478 3.478
Si 5.217 5.217 5.217
```

## Properties
M_tot in μB/cell: 0.00
Fermi-level density of states in states/eV/cell: 4.26
E_tot in eV per cell: -22.24
SG: F-43m

=====

Record 5
A plane-wave DFT calculation with PBE was carried out for a geometry-optimized LaCo2Si structure.

The structure in extended XYZ format:
```
4
Lattice="0.000 3.267 3.267 3.267 0.000 3.267 3.267 3.267 0.000" Properties=species:S:1:pos:R:3 pbc="T T T"
La 0.000 0.000 0.000
Co 1.633 1.633 1.633
Co 3.267 3.267 3.267
Si 4.900 4.900 4.900
```

## Properties
M_tot in μB/cell: 3.24
Fermi-level density of states in states/eV/cell: 5.53
E_tot in eV per cell: -23.51
SG: F-43m

=====

Record 6
A plane-wave DFT calculation with PBE was carried out for a geometry-optimized LaCo4Si4 structure.

The structure in extended XYZ format:
```
9
Lattice="-3.955 3.955 2.069 3.955 -3.955 2.069 3.955 3.955 -2.069" Properties=species:S:1:pos:R:3 pbc="T T T"
La 0.000 0.000 0.000
Co 4.787 0.957 0.000
Co 0.957 3.123 0.000
Co 2.998 0.832 2.069
Co -0.832 2.998 2.069
Si 2.682 1.680 0.000
Si 2.275 -1.273 2.069
Si 1.680 5.228 0.000
Si 1.273 2.275 2.069
```

## Properties
M_tot in μB/cell: 0.00
Fermi-level density of states in states/eV/cell: 6.93
E_tot in eV per cell: -60.50
SG: I4/m

=====

Record 7
A plane-wave DFT calculation with PBE was carried out for a geometry-optimized LaCoSi2 structure.

The structure in extended XYZ format:
```
4
Lattice="1.969 1.137 5.380 -1.969 1.137 5.380 0.000 -2.274 5.380" Properties=species:S:1:pos:R:3 pbc="T T T"
La 0.000 0.000 0.000
Co 0.000 0.000 8.069
Si 0.000 0.000 3.284
Si 0.000 0.000 12.855
```

## Properties
M_tot in μB/cell: 0.00
Fermi-level density of states in states/eV/cell: 2.63
E_tot in eV per cell: -25.87
SG: R-3m

=====

Record 8
A plane-wave DFT calculation with PBE was carried out for a geometry-optimized LaCoSi2 structure.

The structure in extended XYZ format:
```
4
Lattice="3.094 0.000 0.000 0.000 3.094 0.000 0.000 0.000 6.944" Properties=species:S:1:pos:R:3 pbc="T T T"
La 0.000 0.000 0.000
Co 0.000 0.000 3.472
Si 1.547 1.547 2.248
Si 1.547 1.547 4.697
```

## Properties
M_tot in μB/cell: 0.00
Fermi-level density of states in states/eV/cell: 2.62
E_tot in eV per cell: -24.08
SG: P4/mmm

=====

Record 9
A plane-wave DFT calculation with PBE was carried out for a geometry-optimized LaCo2Si structure.

The structure in extended XYZ format:
```
4
Lattice="-1.585 1.743 6.159 1.585 -1.743 6.159 1.585 1.743 -6.159" Properties=species:S:1:pos:R:3 pbc="T T T"
La 0.000 0.000 0.000
Co 1.585 0.000 2.595
Co 0.000 0.000 4.500
Si 0.000 1.743 2.999
```

## Properties
M_tot in μB/cell: 0.70
Fermi-level density of states in states/eV/cell: 4.39
E_tot in eV per cell: -24.84
SG: Imm2

=====

Record 10
A plane-wave DFT calculation with PBE was carried out for a geometry-optimized La12Co5Si3 structure.

The structure in extended XYZ format:
```
80
Lattice="-8.422 8.422 8.422 8.422 -8.422 8.422 8.422 8.422 -8.422" Properties=species:S:1:pos:R:3 pbc="T T T"
La 2.554 -0.434 0.994
La 10.079 5.205 -4.645
La 10.976 0.434 0.994
La 10.079 -3.217 4.645
La 7.987 -0.994 2.554
La 13.067 -1.657 3.217
La 0.994 2.554 -0.434
La 11.639 3.776 -1.657
La 5.205 4.645 -1.657
La 7.428 2.554 0.434
La -0.434 0.994 2.554
La 4.645 -1.657 5.205
La 7.987 7.428 -2.554
La 4.645 1.657 3.217
La 5.205 -4.645 10.079
La 7.428 -2.554 7.987
La 3.217 4.645 1.657
La 9.416 5.868 0.434
La 4.645 10.079 -3.217
La 7.987 0.994 5.868
La 2.554 7.987 -0.994
La 10.079 3.217 3.776
La 1.657 3.217 4.645
La 2.554 0.434 7.428
La 5.868 7.987 0.994
La 6.765 5.205 3.776
La -1.657 5.205 4.645
La 5.868 0.434 9.416
La 0.434 7.428 2.554
La 3.776 -1.657 11.639
La -0.994 2.554 7.987
La 5.205 3.776 6.765
La 0.994 10.976 0.434
La 3.217 13.067 -1.657
La 3.776 6.765 5.205
La 0.434 0.994 10.976
La 3.776 10.079 3.217
La 8.856 7.428 5.868
La 0.994 5.868 7.987
La 3.217 3.776 10.079
La -3.217 4.645 10.079
La 7.428 5.868 8.856
La -4.645 10.079 5.205
La 0.434 9.416 5.868
La -1.657 11.639 3.776
La -2.554 7.987 7.428
La -1.657 3.217 13.067
La 5.868 8.856 7.428
Co 0.000 0.000 0.000
Co 4.211 4.211 -4.211
Co 4.211 -4.211 4.211
Co 8.422 0.000 0.000
Co 12.633 2.105 0.000
Co 8.422 -4.211 6.316
Co 6.316 8.422 -4.211
Co 6.316 0.000 4.211
Co 4.211 6.316 0.000
Co 8.422 4.211 2.105
Co -4.211 4.211 4.211
Co 0.000 8.422 0.000
Co 0.000 0.000 8.422
Co 4.211 4.211 4.211
Co 0.000 4.211 6.316
Co 4.211 2.105 8.422
Co 2.105 8.422 4.211
Co 2.105 0.000 12.633
Co 0.000 12.633 2.105
Co -4.211 6.316 8.422
Si 4.211 2.105 0.000
Si 8.422 4.211 -2.105
Si 2.105 0.000 4.211
Si 10.527 0.000 4.211
Si 0.000 4.211 2.105
Si 4.211 -2.105 8.422
Si 4.211 10.527 0.000
Si 8.422 4.211 6.316
Si -2.105 8.422 4.211
Si 6.316 8.422 4.211
Si 0.000 4.211 10.527
Si 4.211 6.316 8.422
```

## Properties
M_tot in μB/cell: 0.00
Fermi-level density of states in states/eV/cell: 94.64
E_tot in eV per cell: -452.34
SG: Ia-3d

=====

Record 11
A plane-wave DFT calculation with PBE was carried out for a geometry-optimized LaCoSi2 structure.

The structure in extended XYZ format:
```
4
Lattice="0.000 3.313 3.313 3.313 0.000 3.313 3.313 3.313 0.000" Properties=species:S:1:pos:R:3 pbc="T T T"
La 0.000 0.000 0.000
Co 3.313 3.313 3.313
Si 1.656 1.656 1.656
Si 4.969 4.969 4.969
```

## Properties
M_tot in μB/cell: 1.21
Fermi-level density of states in states/eV/cell: 2.02
E_tot in eV per cell: -22.71
SG: Fm-3m

=====

Record 12
A plane-wave DFT calculation with PBE was carried out for a geometry-optimized LaCoSi2 structure.

The structure in extended XYZ format:
```
4
Lattice="1.974 1.140 5.469 -1.974 1.140 5.469 0.000 -2.280 5.469" Properties=species:S:1:pos:R:3 pbc="T T T"
La 0.000 0.000 0.000
Co 0.000 0.000 13.438
Si 0.000 0.000 3.249
Si 0.000 0.000 7.551
```

## Properties
M_tot in μB/cell: 0.00
Fermi-level density of states in states/eV/cell: 1.86
E_tot in eV per cell: -25.44
SG: R3m